[1]
The following is a PBE-GGA calculation of In2PbBr8 after structural relaxation, from the Alexandria database.

Spin magnetization ... 0.00 μB per formula unit
Formation energy without anion corrections ... -822 meV per atom
Crystal system ... monoclinic
Polymorph energy (0 for the lowest one) ... 6 meV per atom
Space-group type ... No. 12

Cell lengths 8.523, 8.523, 7.000 Å; angles 97.57, 97.57, 72.66 degrees
Element x y z (fractional)
In  0.205  0.205  0.161
In  0.795  0.795  0.839
Pb  0.000  0.000  0.500
Br  0.092  0.700  0.737
Br  0.194  0.194  0.788
Br  0.300  0.908  0.263
Br  0.384  0.384  0.297
Br  0.616  0.616  0.703
Br  0.700  0.092  0.737
Br  0.806  0.806  0.212
Br  0.908  0.300  0.263



[2]
The following is a PBE-GGA calculation of Pr2In5Ag3 after structural relaxation, from the Alexandria database.

Spin magnetization ... 0.00 μB per formula unit
Crystal system ... orthorhombic
E ... -3.484 eV per atom
Space-group type ... No. 72

Cell lengths 9.374, 9.374, 9.374 Å; angles 100.91, 92.90, 139.46 degrees
Element x y z (fractional)
Pr  0.131  0.243  0.373
Pr  0.369  0.743  0.112
Pr  0.631  0.257  0.888
Pr  0.869  0.757  0.627
In  0.009  0.750  0.259
In  0.109  0.650  0.759
In  0.250  0.250  0.000
In  0.391  0.150  0.541
In  0.491  0.750  0.741
In  0.509  0.250  0.259
In  0.609  0.850  0.459
In  0.750  0.750  0.000
In  0.891  0.350  0.241
In  0.991  0.250  0.741
Ag  0.130  0.871  0.001
Ag  0.250  0.750  0.500
Ag  0.370  0.371  0.740
Ag  0.630  0.629  0.260
Ag  0.750  0.250  0.500
Ag  0.870  0.129  0.999



[3]
The following is a PBE-GGA calculation of FeRhW2 after structural relaxation, from the Alexandria database.

Spin magnetization ... 2.58 μB per formula unit
Crystal system ... trigonal
Polymorph energy (0 for the lowest one) ... 219 meV per atom
Space-group type ... No. 160

Cell lengths 9.187, 9.187, 9.187 Å; angles 17.27, 17.27, 17.27 degrees
Element x y z (fractional)
Fe  0.000  0.000  0.000
Rh  0.745  0.745  0.745
W  0.251  0.251  0.251
W  0.492  0.492  0.492



[4]
The following is a PBE-GGA calculation of LaPF2 after structural relaxation, from the Alexandria database.

Spin magnetization ... 2.00 μB per formula unit
Formation energy without anion corrections ... -1981 meV per atom
Crystal system ... cubic
Polymorph energy (0 for the lowest one) ... 297 meV per atom
Space-group type ... No. 225

Cell lengths 4.529, 4.529, 4.529 Å; angles 60.00, 60.00, 60.00 degrees
Element x y z (fractional)
La  0.000  0.000  0.000
P  0.500  0.500  0.500
F  0.250  0.250  0.250
F  0.750  0.750  0.750



The highest spin magnetization belongs to which entry?
FeRhW2



Which formula does entry 2 have?
Pr2In5Ag3



Copy entry 3 word for word.
The following is a PBE-GGA calculation of FeRhW2 after structural relaxation, from the Alexandria database.

Spin magnetization ... 2.58 μB per formula unit
Crystal system ... trigonal
Polymorph energy (0 for the lowest one) ... 219 meV per atom
Space-group type ... No. 160

Cell lengths 9.187, 9.187, 9.187 Å; angles 17.27, 17.27, 17.27 degrees
Element x y z (fractional)
Fe  0.000  0.000  0.000
Rh  0.745  0.745  0.745
W  0.251  0.251  0.251
W  0.492  0.492  0.492